# 1
Entry from the Alexandria database: an optimized crystal structure of CaY2Ag2 (GGA-PBE).

Structure (POSCAR):
```
CaY2Ag2
1.0
8.4615 0.0000 0.0000
0.0000 8.4615 0.0000
0.0000 0.0000 3.7973
Ca Y Ag
2 4 4
Direct
0.0000 0.0000 0.0000
0.5000 0.5000 0.0000
0.1581 0.3419 0.5000
0.3419 0.8419 0.5000
0.6581 0.1581 0.5000
0.8419 0.6581 0.5000
0.1310 0.6310 0.0000
0.3690 0.1310 0.0000
0.6310 0.8690 0.0000
0.8690 0.3690 0.0000
```

Results
Magnetic moment   0.0 μB per cell
ΔE to the lowest computed polymorph   0.0 kJ per mole of atoms
Formation energy from the elements   -0.224 eV/atom

---

# 2
Entry from the Alexandria database: an optimized crystal structure of CaY3Ag (GGA-PBE).

Structure (POSCAR):
```
CaY3Ag
1.0
5.6503 0.0000 0.0000
0.0000 5.6503 0.0000
0.0000 0.0000 5.6503
Ca Y Ag
1 3 1
Direct
0.0000 0.0000 0.0000
0.0000 0.5000 0.5000
0.5000 0.0000 0.5000
0.5000 0.5000 0.0000
0.5000 0.5000 0.5000
```

Results
Magnetic moment   1.7 μB per cell
ΔE to the lowest computed polymorph   0.0 kJ per mole of atoms
Formation energy from the elements   0.187 eV/atom

---

# 3
Entry from the Alexandria database: an optimized crystal structure of CaY2Ag (GGA-PBE).

Structure (POSCAR):
```
CaY2Ag
1.0
-4.4076 4.4076 3.2594
4.4076 -4.4076 3.2594
4.4076 4.4076 -3.2594
Ca Y Ag
2 4 2
Direct
0.0000 0.0000 0.0000
0.7500 0.2500 0.5000
0.1847 0.6250 0.0597
0.3750 0.4347 0.5597
0.5653 0.1250 0.9403
0.8750 0.8153 0.4403
0.2500 0.7500 0.5000
0.5000 0.5000 0.0000
```

Results
Magnetic moment   0.0 μB per cell
ΔE to the lowest computed polymorph   21.6 kJ per mole of atoms
Formation energy from the elements   0.110 eV/atom

---

# 4
Entry from the Alexandria database: an optimized crystal structure of CaY2Ag (GGA-PBE).

Structure (POSCAR):
```
CaY2Ag
1.0
3.6052 0.0000 0.0000
0.0000 3.6052 0.0000
0.0000 0.0000 9.2475
Ca Y Ag
1 2 1
Direct
0.0000 0.0000 0.0000
0.0000 0.0000 0.5883
0.5000 0.5000 0.3181
0.5000 0.5000 0.7838
```

Results
Magnetic moment   0.6 μB per cell
ΔE to the lowest computed polymorph   0.0 kJ per mole of atoms
Formation energy from the elements   -0.114 eV/atom

---

# 5
Entry from the Alexandria database: an optimized crystal structure of CaYAg2 (GGA-PBE).

Structure (POSCAR):
```
CaYAg2
1.0
-2.1932 2.1932 5.1553
2.1932 -2.1932 5.1553
2.1932 2.1932 -5.1553
Ca Y Ag
1 1 2
Direct
0.0000 0.0000 0.0000
0.2500 0.7500 0.5000
0.5000 0.5000 0.0000
0.7500 0.2500 0.5000
```

Results
Magnetic moment   0.0 μB per cell
ΔE to the lowest computed polymorph   21.1 kJ per mole of atoms
Formation energy from the elements   -0.105 eV/atom

---

# 6
Entry from the Alexandria database: an optimized crystal structure of CaYAg2 (GGA-PBE).

Structure (POSCAR):
```
CaYAg2
1.0
3.6775 0.0000 0.0000
0.0000 3.6724 0.0000
-0.0223 0.0000 7.4064
Ca Y Ag
1 1 2
Direct
0.0000 0.0000 0.0000
0.0000 0.0000 0.5000
0.4999 0.5000 0.2698
0.5001 0.5000 0.7302
```

Results
Magnetic moment   0.0 μB per cell
ΔE to the lowest computed polymorph   0.0 kJ per mole of atoms
Formation energy from the elements   -0.323 eV/atom

---

# 7
Entry from the Alexandria database: an optimized crystal structure of CaY2Ag (GGA-PBE).

Structure (POSCAR):
```
CaY2Ag
1.0
3.7542 0.0000 0.0000
0.0000 4.9673 0.0000
-1.6773 0.0000 6.4359
Ca Y Ag
1 2 1
Direct
0.0000 0.0000 0.0000
0.3830 0.5000 0.7211
0.6170 0.5000 0.2789
0.0000 0.0000 0.5000
```

Results
Magnetic moment   0.0 μB per cell
ΔE to the lowest computed polymorph   13.8 kJ per mole of atoms
Formation energy from the elements   0.029 eV/atom

---

# 8
Entry from the Alexandria database: an optimized crystal structure of CaYAg (GGA-PBE).

Structure (POSCAR):
```
CaYAg
1.0
5.0799 0.0000 0.0000
-2.5399 4.3993 0.0000
0.0000 0.0000 3.9131
Ca Y Ag
1 1 1
Direct
0.0000 0.0000 0.0000
0.6667 0.3333 0.4711
0.3333 0.6667 0.6956
```

Results
Magnetic moment   0.0 μB per cell
ΔE to the lowest computed polymorph   18.9 kJ per mole of atoms
Formation energy from the elements   0.028 eV/atom

---

# 9
Entry from the Alexandria database: an optimized crystal structure of CaY3Ag (GGA-PBE).

Structure (POSCAR):
```
CaY3Ag
1.0
5.5352 0.0000 0.0000
0.0000 5.5352 0.0000
0.0000 0.0000 5.5352
Ca Y Ag
1 3 1
Direct
0.0000 0.0000 0.0000
0.0000 0.0000 0.5000
0.0000 0.5000 0.0000
0.5000 0.0000 0.0000
0.5000 0.5000 0.5000
```

Results
Magnetic moment   0.0 μB per cell
ΔE to the lowest computed polymorph   85.0 kJ per mole of atoms
Formation energy from the elements   1.068 eV/atom

---

# 10
Entry from the Alexandria database: an optimized crystal structure of CaYAg2 (GGA-PBE).

Structure (POSCAR):
```
CaYAg2
1.0
3.7233 0.0000 0.0000
0.0000 3.7233 0.0000
0.0000 0.0000 7.4840
Ca Y Ag
1 1 2
Direct
0.0000 0.0000 0.0000
0.5000 0.5000 0.3663
0.0000 0.0000 0.5756
0.5000 0.5000 0.7710
```

Results
Magnetic moment   0.0 μB per cell
ΔE to the lowest computed polymorph   14.4 kJ per mole of atoms
Formation energy from the elements   -0.174 eV/atom

---

# 11
Entry from the Alexandria database: an optimized crystal structure of CaY2Ag2 (GGA-PBE).

Structure (POSCAR):
```
CaY2Ag2
1.0
-2.3857 2.3857 6.4572
2.3857 -2.3857 6.4572
2.3857 2.3857 -6.4572
Ca Y Ag
1 2 2
Direct
0.0000 0.0000 0.0000
0.2500 0.7500 0.5000
0.7500 0.2500 0.5000
0.3951 0.3951 0.0000
0.6049 0.6049 0.0000
```

Results
Magnetic moment   0.0 μB per cell
ΔE to the lowest computed polymorph   13.2 kJ per mole of atoms
Formation energy from the elements   -0.087 eV/atom

---

# 12
Entry from the Alexandria database: an optimized crystal structure of CaY2Ag6 (GGA-PBE).

Structure (POSCAR):
```
CaY2Ag6
1.0
2.6663 -8.0601 0.0000
2.6663 8.0601 0.0000
-2.6612 0.0000 4.6416
Ca Y Ag
1 2 6
Direct
0.0000 0.0000 0.0000
0.1647 0.8353 0.5000
0.8353 0.1647 0.5000
0.1693 0.5079 0.1674
0.3395 0.3395 0.6800
0.4921 0.8307 0.8326
0.5079 0.1693 0.1674
0.6605 0.6605 0.3200
0.8307 0.4921 0.8326
```

Results
Magnetic moment   0.0 μB per cell
Formation energy from the elements   -0.239 eV/atom

---

# 13
Entry from the Alexandria database: an optimized crystal structure of CaY2Ag (GGA-PBE).

Structure (POSCAR):
```
CaY2Ag
1.0
1.8351 1.0595 10.5473
-1.8351 1.0595 10.5473
0.0000 -2.1190 10.5473
Ca Y Ag
1 2 1
Direct
0.0000 0.0000 0.0000
0.2348 0.2348 0.2348
0.4788 0.4788 0.4788
0.7405 0.7405 0.7405
```

Results
Magnetic moment   0.0 μB per cell
ΔE to the lowest computed polymorph   10.9 kJ per mole of atoms
Formation energy from the elements   -0.001 eV/atom

---

# 14
Entry from the Alexandria database: an optimized crystal structure of CaY2Ag (GGA-PBE).

Structure (POSCAR):
```
CaY2Ag
1.0
6.4800 -1.8381 0.0000
6.4800 1.8381 0.0000
-2.3703 0.0000 5.0170
Ca Y Ag
1 2 1
Direct
0.0000 0.0000 0.0000
0.2099 0.2099 0.7100
0.7901 0.7901 0.2900
0.5000 0.5000 0.5000
```

Results
Magnetic moment   0.0 μB per cell
ΔE to the lowest computed polymorph   2.7 kJ per mole of atoms
Formation energy from the elements   -0.086 eV/atom

---

# 15
Entry from the Alexandria database: an optimized crystal structure of CaY2Ag (GGA-PBE).

Structure (POSCAR):
```
CaY2Ag
1.0
1.8566 1.0719 10.5863
-1.8566 1.0719 10.5863
0.0000 -2.1438 10.5863
Ca Y Ag
1 2 1
Direct
0.0000 0.0000 0.0000
0.2359 0.2359 0.2359
0.4316 0.4316 0.4316
0.8340 0.8340 0.8340
```

Results
Magnetic moment   0.0 μB per cell
ΔE to the lowest computed polymorph   15.2 kJ per mole of atoms
Formation energy from the elements   0.044 eV/atom

---

# 16
Entry from the Alexandria database: an optimized crystal structure of CaY4Ag (GGA-PBE).

Structure (POSCAR):
```
CaY4Ag
1.0
0.0000 4.6189 4.6189
4.6189 0.0000 4.6189
4.6189 4.6189 0.0000
Ca Y Ag
1 4 1
Direct
0.0000 0.0000 0.0000
0.1256 0.6248 0.6248
0.6248 0.1256 0.6248
0.6248 0.6248 0.1256
0.6248 0.6248 0.6248
0.2500 0.2500 0.2500
```

Results
Magnetic moment   0.0 μB per cell
Formation energy from the elements   0.363 eV/atom

---

# 17
Entry from the Alexandria database: an optimized crystal structure of Ca2Y2Ag (GGA-PBE).

Structure (POSCAR):
```
Ca2Y2Ag
1.0
7.6641 0.0000 0.0000
0.0000 7.6641 0.0000
0.0000 0.0000 5.8516
Ca Y Ag
4 4 2
Direct
0.1657 0.3343 0.0000
0.3343 0.8343 0.0000
0.6657 0.1657 0.0000
0.8343 0.6657 0.0000
0.1522 0.6522 0.5000
0.3478 0.1522 0.5000
0.6522 0.8478 0.5000
0.8478 0.3478 0.5000
0.0000 0.0000 0.5000
0.5000 0.5000 0.5000
```

Results
Magnetic moment   3.0 μB per cell
ΔE to the lowest computed polymorph   0.0 kJ per mole of atoms
Formation energy from the elements   0.141 eV/atom

---

# 18
Entry from the Alexandria database: an optimized crystal structure of CaYAg2 (GGA-PBE).

Structure (POSCAR):
```
CaYAg2
1.0
-1.7818 2.5381 5.5362
1.7818 -2.5381 5.5362
1.7818 2.5381 -5.5362
Ca Y Ag
1 1 2
Direct
0.0000 0.0000 0.0000
0.2906 0.7906 0.5000
0.5341 0.5341 0.0000
0.7415 0.2415 0.5000
```

Results
Magnetic moment   0.0 μB per cell
ΔE to the lowest computed polymorph   14.1 kJ per mole of atoms
Formation energy from the elements   -0.177 eV/atom

---

# 19
Entry from the Alexandria database: an optimized crystal structure of CaY2Ag (GGA-PBE).

Structure (POSCAR):
```
CaY2Ag
1.0
3.6784 -3.6830 0.0000
3.6784 3.6830 0.0000
0.0000 0.0000 4.2022
Ca Y Ag
1 2 1
Direct
0.0000 0.0000 0.0000
0.0000 0.5000 0.5000
0.5000 0.0000 0.5000
0.5000 0.5000 0.0000
```

Results
Magnetic moment   0.0 μB per cell
ΔE to the lowest computed polymorph   14.0 kJ per mole of atoms
Formation energy from the elements   0.032 eV/atom

---

# 20
Entry from the Alexandria database: an optimized crystal structure of CaYAg2 (GGA-PBE).

Structure (POSCAR):
```
CaYAg2
1.0
-3.9773 3.9773 3.5532
3.9773 -3.9773 3.5532
3.9773 3.9773 -3.5532
Ca Y Ag
2 2 4
Direct
0.0000 0.0000 0.0000
0.7500 0.2500 0.5000
0.2500 0.7500 0.5000
0.5000 0.5000 0.0000
0.1291 0.6250 0.0041
0.3750 0.3791 0.5041
0.6209 0.1250 0.9959
0.8750 0.8709 0.4959
```

Results
Magnetic moment   0.0 μB per cell
ΔE to the lowest computed polymorph   36.7 kJ per mole of atoms
Formation energy from the elements   0.057 eV/atom